VASP calculation (PBE with a Hubbard U) on CaNiNF2 after structural relaxation. Values from VASP.

Geometry as Quantum ESPRESSO input:
```
&SYSTEM
  ibrav = 0, nat = 5, ntyp = 4
/
ATOMIC_SPECIES
F 19.00 F.upf
Ca 40.08 Ca.upf
Ni 58.69 Ni.upf
N 14.01 N.upf
ATOMIC_POSITIONS crystal
F 0.500 0.000 0.000
F 0.000 0.500 0.000
Ca 0.000 0.000 0.000
Ni 0.500 0.500 0.500
N 0.000 0.000 0.500
CELL_PARAMETERS angstrom
4.189 0.000 0.000
0.000 4.189 0.000
0.000 0.000 4.986
```

- M_tot: 3.00 μB per cell
- Distance to the lowest polymorph of the same formula: 646 meV/atom
- Symmetry: No. 123
- Uncorrected energy: -20.48 eV/cell